[1]
An optimized crystal structure of CaYNF2. Source: the Alexandria database, functional GGA-PBE.

Summary:
Crystal system: tetragonal
Symmetry: P4/mmm, No. 123
Total energy in eV per cell: -30.71
Energy relative to the lowest polymorph listed for this composition in meV per atom: 305.7
Spin magnetization in μB/cell: 0.000
Formation energy from raw total energies in eV per formula unit: -10.2

Lattice parameters (Å, degrees): 4.059 4.059 5.012 90.00 90.00 90.00
Atoms (fractional coordinates):
Y (0.500, 0.500, 0.500)
Ca (0.000, 0.000, 0.000)
N (0.000, 0.000, 0.500)
F (0.000, 0.500, 0.000)
F (0.500, 0.000, 0.000)


[2]
An optimized crystal structure of CaYNF2. Source: the Alexandria database, functional GGA-PBE.

Summary:
Crystal system: tetragonal
Symmetry: P4/mmm, No. 123
Total energy in eV per cell: -32.24
Energy relative to the lowest polymorph listed for this composition in meV per atom: 0.0
Spin magnetization in μB/cell: 0.000
Formation energy from raw total energies in eV per formula unit: -11.7

Lattice parameters (Å, degrees): 4.321 4.321 4.674 90.00 90.00 90.00
Atoms (fractional coordinates):
Y (0.000, 0.000, 0.000)
Ca (0.500, 0.500, 0.500)
N (0.000, 0.000, 0.500)
F (0.000, 0.500, 0.000)
F (0.500, 0.000, 0.000)


[3]
An optimized crystal structure of CaZrN2F. Source: the Alexandria database, functional GGA-PBE.

Summary:
Crystal system: tetragonal
Symmetry: P4/mmm, No. 123
Total energy in eV per cell: -36.35
Energy relative to the lowest polymorph listed for this composition in meV per atom: 0.0
Spin magnetization in μB/cell: 0.001
Formation energy from raw total energies in eV per formula unit: -7.3

Lattice parameters (Å, degrees): 4.244 4.244 4.201 90.00 90.00 90.00
Atoms (fractional coordinates):
Ca (0.500, 0.500, 0.500)
N (0.000, 0.500, 0.000)
N (0.500, 0.000, 0.000)
Zr (0.000, 0.000, 0.000)
F (0.000, 0.000, 0.500)


[4]
An optimized crystal structure of CaZrN2F. Source: the Alexandria database, functional GGA-PBE.

Summary:
Crystal system: tetragonal
Symmetry: P4/mmm, No. 123
Total energy in eV per cell: -29.76
Energy relative to the lowest polymorph listed for this composition in meV per atom: 1317.7
Spin magnetization in μB/cell: 0.847
Formation energy from raw total energies in eV per formula unit: -0.7

Lattice parameters (Å, degrees): 4.311 4.311 3.935 90.00 90.00 90.00
Atoms (fractional coordinates):
Ca (0.000, 0.000, 0.000)
N (0.000, 0.500, 0.000)
N (0.500, 0.000, 0.000)
Zr (0.500, 0.500, 0.500)
F (0.000, 0.000, 0.500)


[5]
An optimized crystal structure of Na2CaF. Source: the Alexandria database, functional GGA-PBE.

Summary:
Crystal system: tetragonal
Symmetry: I-42d, No. 122
Total energy in eV per cell: -22.00
Energy relative to the lowest polymorph listed for this composition in meV per atom: 0.0
Spin magnetization in μB/cell: 0.000
Formation energy from raw total energies in eV per formula unit: -4.5

Lattice parameters (Å, degrees): 7.127 7.127 7.134 60.03 60.03 90.00
Atoms (fractional coordinates):
Na (0.379, 0.125, 0.250)
Na (0.371, 0.625, 0.250)
Na (0.375, 0.621, 0.750)
Na (0.875, 0.629, 0.750)
Ca (0.000, 0.000, 0.000)
Ca (0.750, 0.250, 0.500)
F (0.500, 0.500, 0.000)
F (0.250, 0.750, 0.500)


[6]
An optimized crystal structure of NaCaF4. Source: the Alexandria database, functional GGA-PBE.

Summary:
Crystal system: monoclinic
Symmetry: C2/m, No. 12
Total energy in eV per cell: -27.92
Spin magnetization in μB/cell: 1.037
Formation energy from raw total energies in eV per formula unit: -17.1

Lattice parameters (Å, degrees): 4.083 3.845 6.294 98.91 90.00 122.07
Atoms (fractional coordinates):
Na (0.500, 0.000, 0.500)
Ca (0.000, 0.000, 0.000)
F (0.640, 0.281, 0.877)
F (0.360, 0.720, 0.123)
F (0.107, 0.214, 0.386)
F (0.893, 0.785, 0.614)


[7]
An optimized crystal structure of Na3Ca12F5. Source: the Alexandria database, functional GGA-PBE.

Summary:
Crystal system: cubic
Symmetry: Ia-3d, No. 230
Total energy in eV per cell: -248.24
Spin magnetization in μB/cell: 0.000
Formation energy from raw total energies in eV per formula unit: -24.7

Lattice parameters (Å, degrees): 14.651 14.651 14.651 109.47 109.47 109.47
Atoms (fractional coordinates):
Na (0.750, 0.375, 0.125)
Na (0.875, 0.750, 0.125)
Na (0.375, 0.750, 0.625)
Na (0.250, 0.125, 0.375)
Na (0.875, 0.125, 0.250)
Na (0.375, 0.625, 0.250)
Na (0.625, 0.375, 0.750)
Na (0.125, 0.875, 0.750)
Na (0.750, 0.875, 0.625)
Na (0.625, 0.250, 0.375)
Na (0.125, 0.250, 0.875)
Na (0.250, 0.625, 0.875)
F (0.125, 0.375, 0.250)
F (0.000, 0.500, 0.000)
F (0.000, 0.000, 0.000)
F (0.375, 0.250, 0.125)
F (0.500, 0.000, 0.500)
F (0.500, 0.500, 0.000)
F (0.125, 0.750, 0.375)
F (0.750, 0.125, 0.875)
F (0.750, 0.625, 0.375)
F (0.375, 0.125, 0.750)
F (0.625, 0.875, 0.250)
F (0.500, 0.500, 0.500)
F (0.500, 0.000, 0.000)
F (0.000, 0.000, 0.500)
F (0.250, 0.375, 0.625)
F (0.250, 0.875, 0.125)
F (0.000, 0.500, 0.500)
F (0.875, 0.250, 0.625)
F (0.625, 0.750, 0.875)
F (0.875, 0.625, 0.750)
Ca (0.696, 0.104, 0.003)
Ca (0.307, 0.503, 0.399)
Ca (0.997, 0.396, 0.304)
Ca (0.503, 0.196, 0.104)
Ca (0.592, 0.696, 0.693)
Ca (0.997, 0.601, 0.193)
Ca (0.307, 0.804, 0.408)
Ca (0.101, 0.908, 0.104)
Ca (0.601, 0.997, 0.693)
Ca (0.696, 0.592, 0.193)
Ca (0.804, 0.497, 0.396)
Ca (0.807, 0.899, 0.003)
Ca (0.104, 0.696, 0.503)
Ca (0.396, 0.399, 0.092)
Ca (0.092, 0.899, 0.396)
Ca (0.408, 0.104, 0.601)
Ca (0.092, 0.193, 0.196)
Ca (0.497, 0.693, 0.101)
Ca (0.807, 0.908, 0.304)
Ca (0.104, 0.408, 0.101)
Ca (0.396, 0.997, 0.804)
Ca (0.601, 0.604, 0.408)
Ca (0.899, 0.807, 0.503)
Ca (0.804, 0.307, 0.908)
Ca (0.399, 0.396, 0.592)
Ca (0.101, 0.193, 0.497)
Ca (0.196, 0.693, 0.092)
Ca (0.193, 0.092, 0.696)
Ca (0.604, 0.003, 0.196)
Ca (0.896, 0.592, 0.899)
Ca (0.503, 0.307, 0.899)
Ca (0.592, 0.896, 0.399)
Ca (0.908, 0.807, 0.804)
Ca (0.908, 0.101, 0.604)
Ca (0.896, 0.304, 0.497)
Ca (0.193, 0.101, 0.997)
Ca (0.604, 0.601, 0.908)
Ca (0.399, 0.003, 0.307)
Ca (0.304, 0.408, 0.807)
Ca (0.196, 0.503, 0.604)
Ca (0.899, 0.092, 0.896)
Ca (0.693, 0.196, 0.592)
Ca (0.497, 0.804, 0.896)
Ca (0.003, 0.399, 0.807)
Ca (0.408, 0.304, 0.307)
Ca (0.003, 0.604, 0.696)
Ca (0.693, 0.497, 0.601)
Ca (0.304, 0.896, 0.997)


[8]
An optimized crystal structure of NaCa2F. Source: the Alexandria database, functional GGA-PBE.

Summary:
Crystal system: tetragonal
Symmetry: I-42d, No. 122
Total energy in eV per cell: -24.60
Energy relative to the lowest polymorph listed for this composition in meV per atom: 0.0
Spin magnetization in μB/cell: 0.000
Formation energy from raw total energies in eV per formula unit: -5.1

Lattice parameters (Å, degrees): 7.353 7.353 7.052 58.58 58.58 90.00
Atoms (fractional coordinates):
Na (0.000, 0.000, 0.000)
Na (0.750, 0.250, 0.500)
Ca (0.482, 0.125, 0.250)
Ca (0.268, 0.625, 0.250)
Ca (0.375, 0.518, 0.750)
Ca (0.875, 0.732, 0.750)
F (0.500, 0.500, 0.000)
F (0.250, 0.750, 0.500)


[9]
An optimized crystal structure of Na3CaF6. Source: the Alexandria database, functional GGA-PBE.

Summary:
Crystal system: orthorhombic
Symmetry: Pnnm, No. 58
Total energy in eV per cell: -89.33
Energy relative to the lowest polymorph listed for this composition in meV per atom: 7.0
Spin magnetization in μB/cell: 2.168
Formation energy from raw total energies in eV per formula unit: -27.5

Lattice parameters (Å, degrees): 3.681 6.367 11.826 90.00 90.00 90.00
Atoms (fractional coordinates):
Na (0.500, 0.810, 0.720)
Na (0.500, 0.500, 0.000)
Na (0.500, 0.190, 0.280)
Na (0.000, 0.690, 0.220)
Na (0.000, 0.000, 0.500)
Na (0.000, 0.310, 0.780)
Ca (0.500, 0.500, 0.500)
Ca (0.000, 0.000, 0.000)
F (0.500, 0.181, 0.927)
F (0.500, 0.119, 0.588)
F (0.500, 0.556, 0.302)
F (0.500, 0.444, 0.698)
F (0.500, 0.881, 0.412)
F (0.500, 0.819, 0.073)
F (0.000, 0.319, 0.427)
F (0.000, 0.381, 0.088)
F (0.000, 0.944, 0.802)
F (0.000, 0.056, 0.198)
F (0.000, 0.619, 0.912)
F (0.000, 0.681, 0.574)


[10]
An optimized crystal structure of NaCa2F. Source: the Alexandria database, functional GGA-PBE.

Summary:
Crystal system: trigonal
Symmetry: R-3m, No. 166
Total energy in eV per cell: -11.54
Energy relative to the lowest polymorph listed for this composition in meV per atom: 190.3
Spin magnetization in μB/cell: 0.719
Formation energy from raw total energies in eV per formula unit: -4.3

Lattice parameters (Å, degrees): 3.702 3.702 10.500 79.85 79.85 60.00
Atoms (fractional coordinates):
Na (0.000, 0.000, 0.000)
Ca (0.115, 0.115, 0.656)
Ca (0.885, 0.885, 0.344)
F (0.500, 0.500, 0.500)